This record from the Alexandria database describes crystalline Fe2CuNiO4 at its relaxed geometry. The functional is PBE with a Hubbard U.

Calculated values
- D(E_F): 3.280 states/eV per cell
- Spin magnetization: 9.00 Bohr magnetons per cell
- E: -5.742 eV per atom
- Crystal system: orthorhombic

extended XYZ file:
```
8
Lattice="-2.1839 2.1892 4.2164 2.1839 -2.1892 4.2164 2.1839 2.1892 -4.2164" Properties=species:S:1:pos:R:3 pbc="T T T"
Fe 0.0000 0.0000 2.1067
Fe 0.0000 0.0000 6.3261
Cu 0.0000 2.1892 0.0000
Ni 2.1839 0.0000 0.0000
O 0.0000 0.0000 0.0000
O 2.1839 0.0000 2.0773
O 0.0000 0.0000 4.2164
O 0.0000 2.1892 2.1391
```